A geometry-optimized Ca2AlIr2 structure. Source: the Alexandria database, functional GGA-PBEsol.

```
data_Ca2AlIr2
_space_group_name_H-M_alt 'P 4/m b m'
_space_group_IT_number 127
_space_group_name_Hall '-P 4 2ab'
_cell_length_a 6.5358
_cell_length_b 6.5358
_cell_length_c 4.6211
_cell_angle_alpha 90.00
_cell_angle_beta 90.00
_cell_angle_gamma 90.00
loop_
_atom_site_label
_atom_site_type_symbol
_atom_site_fract_x
_atom_site_fract_y
_atom_site_fract_z
_atom_site_occupancy
Ca1 Ca 0.1731 0.3269 0.0000 1
Al1 Al 0.0000 0.0000 0.5000 1
Ir1 Ir 0.1354 0.6354 0.5000 1
```

Crystal system   tetragonal
Density   8.27 g/cm3
Fermi-level density of states   0.21 states/eV per atom
ΔE_f   -46 kJ per mole of atoms